Density functional theory data (PBE+U) for a relaxed structure of SmPaV2O8.

Summary:
- Total energy: -203.75 eV/cell

Unit cell a=7.229 b=7.229 c=6.541 alpha=90.00 beta=90.00 gamma=90.00
Space group I-4m2 (No. 119)
Inequivalent atoms, fractional coordinates:
Sm  0.000  0.000  0.000 x2
Pa  0.000  0.500  0.750 x2
V  0.000  0.000  0.500 x2
V  0.000  0.500  0.250 x2
O  0.000  0.193  0.678 x8
O  0.000  0.322  0.055 x8